No. 1
The following is a DFT calculation (SCAN) of a PBEsol-optimized structure of ZnFeIr2.

Unit cell a=2.683 b=3.794 c=5.184 alpha=90.00 beta=89.96 gamma=90.00
Last column: magnetic moment on the atom in μB.
Sites, in units of the cell vectors:
Zn: 0.000 0.000 0.501  -0.03
Ir: 0.000 0.000 0.987  0.14
Ir: 0.500 0.500 0.256  0.11
Fe: 0.500 0.500 0.756  2.98

Properties
space-group type	Pmm2, No. 25



No. 2
The following is a DFT calculation (SCAN) of a PBEsol-optimized structure of ZnFe2Ir.

Unit cell a=2.865 b=4.215 c=4.847 alpha=115.77 beta=107.19 gamma=90.00
Last column: magnetic moment on the atom in μB.
Sites, in units of the cell vectors:
Ir: 0.493 0.493 0.987  0.51
Fe: 0.010 0.010 0.020  2.83
Zn: 0.259 0.759 0.517  -0.08
Fe: 0.738 0.238 0.476  2.97

Properties
space-group type	Imm2, No. 44



No. 3
The following is a DFT calculation (SCAN) of a PBEsol-optimized structure of ZnFeIr2.

Unit cell a=2.739 b=4.569 c=5.075 alpha=116.76 beta=105.65 gamma=90.00
Last column: magnetic moment on the atom in μB.
Sites, in units of the cell vectors:
Ir: 0.256 0.256 0.512  0.39
Fe: 0.000 0.500 0.000  3.16
Zn: 0.500 0.000 0.000  -0.03
Ir: 0.744 0.744 0.488  0.39

Properties
space-group type	Immm, No. 71



No. 4
The following is a DFT calculation (SCAN) of a PBEsol-optimized structure of ZnFe2Ir.

Unit cell a=3.717 b=3.717 c=4.461 alpha=114.62 beta=114.62 gamma=90.00
Last column: magnetic moment on the atom in μB.
Sites, in units of the cell vectors:
Fe: 0.750 0.250 0.500  2.89
Fe: 0.000 0.000 0.000  2.88
Ir: 0.500 0.500 0.000  0.56
Zn: 0.250 0.750 0.500  -0.06

Properties
space-group type	I-4m2, No. 119



No. 5
The following is a DFT calculation (SCAN) of a PBEsol-optimized structure of ZnFe2Ir.

Unit cell a=4.134 b=4.134 c=4.134 alpha=60.00 beta=60.00 gamma=60.00
Last column: magnetic moment on the atom in μB.
Sites, in units of the cell vectors:
Ir: 0.500 0.500 0.500  0.42
Fe: 0.750 0.750 0.750  2.88
Zn: 0.250 0.250 0.250  -0.06
Fe: 0.000 0.000 0.000  2.94

Properties
space-group type	F-43m, No. 216



No. 6
The following is a DFT calculation (SCAN) of a PBEsol-optimized structure of ZnFeIr2.

Unit cell a=2.706 b=4.468 c=4.629 alpha=99.63 beta=107.00 gamma=90.00
Last column: magnetic moment on the atom in μB.
Sites, in units of the cell vectors:
Ir: 0.255 0.754 0.509  0.09
Ir: 0.000 0.004 0.000  -0.02
Zn: 0.500 0.497 0.001  -0.02
Fe: 0.745 0.245 0.490  2.94

Properties
space-group type	Cm, No. 8



No. 7
The following is a DFT calculation (SCAN) of a PBEsol-optimized structure of ZnFe2Ir.

Unit cell a=2.597 b=2.597 c=8.314 alpha=90.00 beta=90.00 gamma=114.97
Last column: magnetic moment on the atom in μB.
Sites, in units of the cell vectors:
Fe: 0.500 0.500 0.763  2.92
Fe: 0.000 0.000 0.990  2.74
Zn: 0.500 0.500 0.240  -0.06
Ir: 0.000 0.000 0.507  0.43

Properties
space-group type	Cmm2, No. 35



No. 8
The following is a DFT calculation (SCAN) of a PBEsol-optimized structure of ZnFeIr2.

Unit cell a=2.703 b=2.703 c=8.540 alpha=80.90 beta=80.90 gamma=60.00
Last column: magnetic moment on the atom in μB.
Sites, in units of the cell vectors:
Zn: 0.500 0.500 0.500  -0.01
Ir: 0.253 0.253 0.242  0.22
Ir: 0.747 0.747 0.758  0.22
Fe: 0.000 0.000 0.000  3.03

Properties
space-group type	R-3m, No. 166



No. 9
The following is a DFT calculation (SCAN) of a PBEsol-optimized structure of ZnFe2Ir.

Unit cell a=2.619 b=4.502 c=4.502 alpha=110.61 beta=90.00 gamma=90.00
Last column: magnetic moment on the atom in μB.
Sites, in units of the cell vectors:
Ir: 0.500 0.000 0.000  0.25
Fe: 0.000 0.500 0.000  2.86
Zn: 0.500 0.500 0.500  -0.10
Fe: 0.000 0.000 0.500  2.86

Properties
space-group type	Cmmm, No. 65



No. 10
The following is a DFT calculation (SCAN) of a PBEsol-optimized structure of ZnFeIr2.

Unit cell a=2.763 b=4.280 c=4.562 alpha=90.00 beta=90.00 gamma=90.00
Last column: magnetic moment on the atom in μB.
Sites, in units of the cell vectors:
Ir: 0.500 0.000 0.500  0.43
Fe: 0.000 0.500 0.500  3.08
Zn: 0.500 0.500 0.000  -0.04
Ir: 0.000 0.000 0.000  0.18

Properties
space-group type	Pmmm, No. 47



No. 11
The following is a DFT calculation (SCAN) of a PBEsol-optimized structure of ZnFeIr2.

Unit cell a=2.693 b=4.499 c=4.687 alpha=100.15 beta=90.00 gamma=107.42
Last column: magnetic moment on the atom in μB.
Sites, in units of the cell vectors:
Fe: 0.500 0.000 0.000  3.14
Ir: 0.755 0.510 0.756  0.30
Zn: 0.000 0.000 0.500  -0.03
Ir: 0.245 0.490 0.244  0.30

Properties
space-group type	C2/m, No. 12



No. 12
The following is a DFT calculation (SCAN) of a PBEsol-optimized structure of ZnFe2Ir.

Unit cell a=2.646 b=4.466 c=4.485 alpha=101.58 beta=107.16 gamma=90.00
Last column: magnetic moment on the atom in μB.
Sites, in units of the cell vectors:
Ir: 0.494 0.490 0.989  0.36
Zn: 0.252 0.759 0.503  -0.07
Fe: 0.005 0.003 0.011  2.83
Fe: 0.748 0.248 0.497  2.87

Properties
space-group type	Cm, No. 8



No. 13
The following is a DFT calculation (SCAN) of a PBEsol-optimized structure of ZnFeIr2.

Unit cell a=2.703 b=2.703 c=7.123 alpha=90.00 beta=90.00 gamma=90.00
Last column: magnetic moment on the atom in μB.
Sites, in units of the cell vectors:
Zn: 0.500 0.500 0.000  -0.01
Ir: 0.000 0.000 0.266  0.07
Ir: 0.000 0.000 0.734  0.07
Fe: 0.500 0.500 0.500  2.71

Properties
space-group type	P4/mmm, No. 123



No. 14
The following is a DFT calculation (SCAN) of a PBEsol-optimized structure of ZnFe3Ir.

Unit cell a=4.563 b=4.563 c=4.563 alpha=90.00 beta=90.00 gamma=90.00
Last column: magnetic moment on the atom in μB.
Sites, in units of the cell vectors:
Ir: 0.000 0.000 0.000  0.67
Fe: 0.500 0.000 0.000  3.38
Zn: 0.500 0.500 0.500  -0.03
Fe: 0.000 0.000 0.500  3.38
Fe: 0.000 0.500 0.000  3.38

Properties
space-group type	Pm-3m, No. 221



No. 15
The following is a DFT calculation (SCAN) of a PBEsol-optimized structure of ZnFe2Ir.

Unit cell a=3.648 b=3.648 c=3.773 alpha=90.00 beta=90.00 gamma=90.00
Last column: magnetic moment on the atom in μB.
Sites, in units of the cell vectors:
Fe: 0.500 0.000 0.000  2.98
Fe: 0.000 0.500 0.000  2.98
Ir: 0.500 0.500 0.500  0.48
Zn: 0.000 0.000 0.500  -0.07

Properties
space-group type	P4/mmm, No. 123



No. 16
The following is a DFT calculation (SCAN) of a PBEsol-optimized structure of ZnFeIr2.

Unit cell a=3.687 b=3.687 c=4.646 alpha=113.38 beta=113.38 gamma=90.00
Last column: magnetic moment on the atom in μB.
Sites, in units of the cell vectors:
Ir: 0.750 0.250 0.500  -0.14
Ir: 0.000 0.000 0.000  -0.24
Zn: 0.500 0.500 0.000  -0.04
Fe: 0.250 0.750 0.500  2.74

Properties
space-group type	I-4m2, No. 119



No. 17
The following is a DFT calculation (SCAN) of a PBEsol-optimized structure of ZrFeIr2.

Unit cell a=3.797 b=3.924 c=3.924 alpha=90.00 beta=90.00 gamma=90.00
Last column: magnetic moment on the atom in μB.
Sites, in units of the cell vectors:
Zr: 0.500 0.500 0.500  -0.10
Ir: 0.000 0.000 0.500  -0.11
Fe: 0.500 0.000 0.000  2.29
Ir: 0.000 0.500 0.000  -0.11

Properties
space-group type	P4/mmm, No. 123



No. 18
The following is a DFT calculation (SCAN) of a PBEsol-optimized structure of Zr3FeIr.

Unit cell a=4.604 b=4.604 c=4.604 alpha=90.00 beta=90.00 gamma=90.00
Sites, in units of the cell vectors:
Zr: 0.500 0.000 0.000
Zr: 0.000 0.500 0.000
Fe: 0.000 0.000 0.000
Ir: 0.500 0.500 0.500
Zr: 0.000 0.000 0.500

Properties
space-group type	Pm-3m, No. 221



No. 19
The following is a DFT calculation (SCAN) of a PBEsol-optimized structure of ZrFeIr3.

Unit cell a=4.736 b=4.736 c=4.736 alpha=90.00 beta=90.00 gamma=90.00
Last column: magnetic moment on the atom in μB.
Sites, in units of the cell vectors:
Ir: 0.000 0.000 0.500  0.41
Fe: 0.500 0.500 0.500  3.64
Ir: 0.500 0.000 0.000  0.41
Zr: 0.000 0.000 0.000  -0.06
Ir: 0.000 0.500 0.000  0.41

Properties
space-group type	Pm-3m, No. 221



No. 20
The following is a DFT calculation (SCAN) of a PBEsol-optimized structure of ZrFeIr2.

Unit cell a=2.775 b=2.775 c=7.602 alpha=90.00 beta=90.00 gamma=90.00
Last column: magnetic moment on the atom in μB.
Sites, in units of the cell vectors:
Zr: 0.000 0.000 0.512  -0.07
Ir: 0.500 0.500 0.232  -0.34
Ir: 0.000 0.000 0.982  0.14
Fe: 0.500 0.500 0.774  2.72

Properties
space-group type	P4mm, No. 99



no.,DFT formation energy (eV/atom),E_tot (eV/atom)
1,-0.11,-43.568
2,-0.16,-30.381
3,-0.07,-43.534
4,-0.15,-30.371
5,-0.17,-30.393
6,-0.11,-43.568
7,-0.03,-30.252
8,-0.19,-43.654
9,-0.17,-30.383
10,-0.04,-43.499
11,-0.18,-43.643
12,-0.13,-30.346
13,-0.13,-43.591
14,1.13,-26.671
15,-0.21,-30.426
16,-0.09,-43.546
17,-0.66,-48.413
18,0.25,-36.017
19,1.88,-50.542
20,-0.13,-47.887